1.
VASP calculation (GGA-PBE) on crystalline Ac4ZnAg3 at its relaxed geometry.

```
Ac4ZnAg3
1.0
3.953 0.000 0.000
0.000 3.953 0.000
0.000 0.000 15.771
Ac Zn Ag
4 1 3
direct
0.000 0.000 0.123
0.000 0.000 0.374
0.000 0.000 0.626
0.000 0.000 0.877
0.500 0.500 0.000
0.500 0.500 0.249
0.500 0.500 0.500
0.500 0.500 0.751
```

Results
theoretical density: 8738 kg/m³
E_form: -0.263 eV/atom

---

2.
VASP calculation (GGA-PBE) on crystalline Ac2Zn3Ag2 at its relaxed geometry.

```
Ac2Zn3Ag2
1.0
5.365 -2.438 0.000
5.365 2.438 0.000
-2.258 0.000 6.495
Ac Zn Ag
2 3 2
direct
0.148 0.148 0.274
0.852 0.852 0.726
0.412 0.412 0.097
0.500 0.500 0.500
0.588 0.588 0.903
0.161 0.161 0.776
0.839 0.839 0.224
```

Results
theoretical density: 8464 kg/m³
E_form: -0.266 eV/atom

---

3.
VASP calculation (GGA-PBE) on crystalline AcZnAg at its relaxed geometry.

```
AcZnAg
1.0
4.774 0.000 0.000
-2.387 4.135 0.000
0.000 0.000 3.999
Ac Zn Ag
1 1 1
direct
0.000 0.000 0.000
0.667 0.333 0.500
0.333 0.667 0.500
```

Results
theoretical density: 8419 kg/m³
E_form: -0.318 eV/atom

---

4.
VASP calculation (GGA-PBE) on crystalline Ac2ZnAg6 at its relaxed geometry.

```
Ac2ZnAg6
1.0
6.350 0.000 0.000
-3.175 5.499 0.000
0.000 0.000 6.059
Ac Zn Ag
2 1 6
direct
0.333 0.667 0.339
0.667 0.333 0.661
0.000 0.000 0.500
0.176 0.353 0.825
0.176 0.824 0.825
0.353 0.176 0.175
0.647 0.824 0.825
0.824 0.176 0.175
0.824 0.647 0.175
```

Results
theoretical density: 9156 kg/m³
E_form: -0.185 eV/atom

---

5.
VASP calculation (GGA-PBE) on crystalline Ac4Zn3Ag at its relaxed geometry.

```
Ac4Zn3Ag
1.0
3.930 0.000 0.000
0.000 3.930 0.000
0.000 0.000 15.682
Ac Zn Ag
4 3 1
direct
0.000 0.000 0.125
0.000 0.000 0.371
0.000 0.000 0.629
0.000 0.000 0.875
0.500 0.500 0.000
0.500 0.500 0.247
0.500 0.500 0.753
0.500 0.500 0.500
```

Results
theoretical density: 8311 kg/m³
E_form: -0.250 eV/atom

---

6.
VASP calculation (GGA-PBE) on crystalline Ac2Zn15Ag2 at its relaxed geometry.

```
Ac2Zn15Ag2
1.0
4.652 2.686 4.544
-4.652 2.686 4.544
0.000 -5.372 4.544
Ac Zn Ag
2 15 2
direct
0.158 0.158 0.158
0.842 0.842 0.842
0.000 0.500 0.500
0.154 0.154 0.660
0.154 0.660 0.154
0.214 0.500 0.786
0.214 0.786 0.500
0.340 0.846 0.846
0.500 0.000 0.500
0.500 0.214 0.786
0.500 0.500 0.000
0.500 0.786 0.214
0.660 0.154 0.154
0.786 0.214 0.500
0.786 0.500 0.214
0.846 0.340 0.846
0.846 0.846 0.340
0.395 0.395 0.395
0.605 0.605 0.605
```

Results
theoretical density: 8047 kg/m³
E_form: -0.224 eV/atom

---

7.
VASP calculation (GGA-PBE) on crystalline AcZn9Ag2 at its relaxed geometry.

```
AcZn9Ag2
1.0
2.692 1.554 8.399
-2.692 1.554 8.399
0.000 -3.109 8.399
Ac Zn Ag
1 9 2
direct
0.000 0.000 0.000
0.081 0.593 0.593
0.334 0.334 0.334
0.407 0.407 0.919
0.407 0.919 0.407
0.500 0.500 0.500
0.593 0.081 0.593
0.593 0.593 0.081
0.666 0.666 0.666
0.919 0.407 0.407
0.138 0.138 0.138
0.862 0.862 0.862
```

Results
theoretical density: 8121 kg/m³
E_form: -0.107 eV/atom

---

8.
VASP calculation (GGA-PBE) on crystalline Ac8Zn2Ag at its relaxed geometry.

```
Ac8Zn2Ag
1.0
9.967 -2.787 0.000
9.967 2.787 0.000
-1.802 0.000 7.317
Ac Zn Ag
8 2 1
direct
0.029 0.029 0.273
0.201 0.201 0.826
0.335 0.335 0.530
0.409 0.409 0.044
0.591 0.591 0.956
0.665 0.665 0.470
0.799 0.799 0.174
0.971 0.971 0.727
0.188 0.188 0.236
0.812 0.812 0.764
0.500 0.500 0.500
```

Results
theoretical density: 8393 kg/m³
E_form: -0.083 eV/atom

---

Please write out number 3 again, unchanged.
VASP calculation (GGA-PBE) on crystalline AcZnAg at its relaxed geometry.

```
AcZnAg
1.0
4.774 0.000 0.000
-2.387 4.135 0.000
0.000 0.000 3.999
Ac Zn Ag
1 1 1
direct
0.000 0.000 0.000
0.667 0.333 0.500
0.333 0.667 0.500
```

Results
theoretical density: 8419 kg/m³
E_form: -0.318 eV/atom